HfMn2CdO6 after structural relaxation. Source: Alexandria via LeMat-Bulk, functional PBE with a Hubbard U.

Structure (CIF):
```
data_HfMn2CdO6
_cell_length_a 5.3336
_cell_length_b 5.3336
_cell_length_c 14.5988
_cell_angle_alpha 90.00
_cell_angle_beta 90.00
_cell_angle_gamma 120.00
_space_group_name_H-M_alt 'R 3'
_space_group_IT_number 146
_space_group_name_Hall 'R 3'
loop_
_atom_site_label
_atom_site_type_symbol
_atom_site_fract_x
_atom_site_fract_y
_atom_site_fract_z
Hf1 Hf 0.0000 0.0000 0.0000
Mn1 Mn 0.0000 0.0000 0.3044
Mn2 Mn 0.0000 0.0000 0.7916
Cd1 Cd 0.0000 0.0000 0.5183
O1 O 0.0054 0.3027 0.3878
O2 O 0.0095 0.6054 0.5678
```

Calculated values
The value obtained for the total energy is -7.572 eV per atom.